Below is a relaxed structure of LuAlCuIr, with properties calculated at the GGA-PBE level.

Properties
energy = -5.8105 eV per atom
distance to the lowest polymorph of the same formula = 0.0000 eV/atom

Cell lengths 4.5253, 4.5253, 4.5253 Å; angles 60.00, 60.00, 60.00 degrees
Last column: nearest neighbours and their distance in Å.
Sites, in units of the cell vectors:
Lu 0.0000 0.0000 0.0000  4 Cu 2.77, 4 Ir 2.77
Al 0.5000 0.5000 0.5000  4 Cu 2.77, 4 Ir 2.77
Cu 0.7500 0.7500 0.7500  4 Al 2.77, 4 Lu 2.77
Ir 0.2500 0.2500 0.2500  4 Al 2.77, 4 Lu 2.77

Below is a relaxed structure of TaAlFeAu, with properties calculated at the GGA-PBE level.

Properties
energy = -6.8623 eV per atom
distance to the lowest polymorph of the same formula = 0.0000 eV/atom

Cell lengths 4.4528, 4.4528, 4.4528 Å; angles 60.00, 60.00, 60.00 degrees
Last column: nearest neighbours and their distance in Å.
Sites, in units of the cell vectors:
Ta 0.0000 0.0000 0.0000  4 Fe 2.73, 4 Au 2.73
Al 0.5000 0.5000 0.5000  4 Fe 2.73, 4 Au 2.73
Fe 0.7500 0.7500 0.7500  4 Al 2.73, 4 Ta 2.73
Au 0.2500 0.2500 0.2500  4 Al 2.73, 4 Ta 2.73

Below is a relaxed structure of ZnGaMo, with properties calculated at the GGA-PBE level.

Properties
energy = -4.4293 eV per atom

Cell lengths 4.2871, 4.2871, 4.2871 Å; angles 60.00, 60.00, 60.00 degrees
Last column: nearest neighbours and their distance in Å.
Sites, in units of the cell vectors:
Zn 0.0000 0.0000 0.0000  4 Mo 2.63
Ga 0.5000 0.5000 0.5000  4 Mo 2.63
Mo 0.7500 0.7500 0.7500  4 Zn 2.63, 4 Ga 2.63

Below is a relaxed structure of ZnFeNiPt, with properties calculated at the GGA-PBE level.

Properties
energy = -5.5161 eV per atom
formation energy from the elements = -21 kJ per mole of atoms
distance to the lowest polymorph of the same formula = 0.0000 eV/atom

Cell lengths 4.2136, 4.2136, 4.2136 Å; angles 60.00, 60.00, 60.00 degrees
Last column: nearest neighbours and their distance in Å.
Sites, in units of the cell vectors:
Zn 0.0000 0.0000 0.0000  4 Ni 2.58, 4 Pt 2.58
Fe 0.5000 0.5000 0.5000  4 Pt 2.58, 4 Ni 2.58
Ni 0.2500 0.2500 0.2500  4 Fe 2.58, 4 Zn 2.58
Pt 0.7500 0.7500 0.7500  4 Fe 2.58, 4 Zn 2.58

Below is a relaxed structure of AlOs2W, with properties calculated at the GGA-PBE level.

Properties
energy = -9.5752 eV per atom

Cell lengths 4.3748, 4.3748, 4.3748 Å; angles 60.00, 60.00, 60.00 degrees
Last column: nearest neighbours and their distance in Å.
Sites, in units of the cell vectors:
Al 0.0000 0.0000 0.0000  4 Os 2.68, 4 W 2.68
Os 0.5000 0.5000 0.5000  4 Os 2.68, 4 W 2.68
Os 0.7500 0.7500 0.7500  4 Al 2.68, 4 Os 2.68
W 0.2500 0.2500 0.2500  4 Os 2.68, 4 Al 2.68

Below is a relaxed structure of TaSbNO, with properties calculated at the GGA-PBE level.

Properties
energy = -8.2236 eV per atom
distance to the lowest polymorph of the same formula = 0.0229 eV/atom

Cell lengths 3.6218, 6.8402, 5.9291 Å; angles 90.00, 90.00, 90.00 degrees
Last column: nearest neighbours and their distance in Å.
Sites, in units of the cell vectors:
Ta 0.0000 0.1625 0.0000  2 O 1.89-2.00, 2 N 1.98
Ta 0.0000 0.8375 0.5000  2 O 1.89-2.00, 2 N 1.98
Sb 0.5000 0.4745 0.4851  1 N 2.20
Sb 0.5000 0.5255 0.9851  1 N 2.20
N 0.5000 0.2166 0.8797  2 Ta 1.98, 1 Sb 2.20
N 0.5000 0.7834 0.3797  2 Ta 1.98, 1 Sb 2.20
O 0.0000 0.0731 0.3008  2 Ta 1.89-2.00
O 0.0000 0.9269 0.8008  2 Ta 1.89-2.00

Below is a relaxed structure of BaTaN2O, with properties calculated at the GGA-PBE level.

Properties
energy = -8.5204 eV per atom

Cell lengths 5.8612, 5.8905, 10.1652 Å; angles 73.20, 89.85, 60.18 degrees
Last column: nearest neighbours and their distance in Å.
Sites, in units of the cell vectors:
Ba 0.0000 0.0000 0.0000  9 N 2.89-2.99, 3 O 2.90-2.98
Ba 0.2416 0.5089 0.7499  5 O 2.90-2.98, 7 N 2.91-2.96
Ba 0.4910 0.0032 0.5047  5 O 2.89-2.96, 7 N 2.92-2.98
Ba 0.7510 0.4930 0.2551  3 O 2.85-3.04, 9 N 2.90-3.01
Ta 0.1204 0.7431 0.3764  4 N 1.99-2.10, 2 O 2.11-2.15
Ta 0.3847 0.2405 0.1270  5 N 2.01-2.19, 1 O 2.09
Ta 0.6279 0.7435 0.8817  4 N 1.98-2.09, 2 O 2.10-2.16
Ta 0.8617 0.2661 0.6251  3 N 2.02-2.05, 3 O 2.10-2.11
N 0.2402 0.5110 0.2531  2 Ta 1.99-2.17
N 0.4895 0.0067 0.0012  2 Ta 2.02-2.09
N 0.4916 0.5035 0.0015  2 Ta 2.06
N 0.4981 0.5044 0.5033  2 Ta 2.02-2.10
N 0.7416 0.0061 0.2535  2 Ta 2.01-2.09
N 0.7423 0.5012 0.7511  2 Ta 2.03-2.09
N 0.9851 0.5077 0.0015  2 Ta 1.98-2.19
N 0.9936 0.5056 0.5032  2 Ta 2.04-2.05
O 0.2382 0.0117 0.2549  2 Ta 2.09-2.11
O 0.2412 0.0032 0.7504  2 Ta 2.10-2.16
O 0.7429 0.0015 0.7495  2 Ta 2.10-2.11
O 0.9961 0.0037 0.5044  2 Ta 2.10-2.15

Below is a relaxed structure of HfTeSe, with properties calculated at the GGA-PBE level.

Properties
energy = -6.5814 eV per atom

Cell lengths 7.8823, 7.8823, 7.8823 Å; angles 60.00, 60.00, 60.00 degrees
Last column: nearest neighbours and their distance in Å.
Sites, in units of the cell vectors:
Hf 0.3796 0.3796 0.3796  3 Se 2.69, 3 Te 2.90
Hf 0.3796 0.3796 0.8612  3 Se 2.69, 3 Te 2.90
Hf 0.3796 0.8612 0.3796  3 Se 2.69, 3 Te 2.90
Hf 0.8612 0.3796 0.3796  3 Se 2.69, 3 Te 2.90
Te 0.1199 0.1199 0.1199  3 Hf 2.90
Te 0.1199 0.1199 0.6404  3 Hf 2.90
Te 0.1199 0.6404 0.1199  3 Hf 2.90
Te 0.6404 0.1199 0.1199  3 Hf 2.90
Se 0.1375 0.6208 0.6208  3 Hf 2.69
Se 0.6208 0.1375 0.6208  3 Hf 2.69
Se 0.6208 0.6208 0.1375  3 Hf 2.69
Se 0.6208 0.6208 0.6208  3 Hf 2.69